Computed, not measured: Ca2Ac6CoRh after structural relaxation at the PBE level of DFT.

Properties
M_tot: 0.000 μB per formula unit
calculated density: 6.7 Mg/m³
energy of formation: -0.163 eV/atom

a = 8.2494 Å, b = 8.2639 Å, c = 11.6538 Å
α = 90.00°, β = 90.00°, γ = 90.00°
Space group Immm (No. 71)
Unique sites:
Ca (0.0000, 0.0000, 0.2500)
Ac (0.0000, 0.5000, 0.2457)
Ac (0.2462, 0.2543, 0.0000)
Co (0.0000, 0.5000, 0.0000)
Rh (0.0000, 0.5000, 0.5000)